Entry 1:
Crystalline Mo2Ru3Pt2 at its relaxed geometry. Source: the Alexandria database, functional PBE.

Its magnetization is 0.000 μB/atom. Its formation energy is -0.047 eV/atom. Its uncorrected energy is -8.84 eV/atom. Its density is 13.90 Mg/m³.

Cell: 3.996 19.504 2.713 Å, 90.00 90.00 90.00°
Fractional positions:
Mo 0.000 0.140 0.000
Mo 0.000 0.860 0.000
Mo 0.500 0.360 0.000
Mo 0.500 0.640 0.000
Ru 0.000 0.000 0.000
Ru 0.000 0.434 0.500
Ru 0.000 0.566 0.500
Ru 0.500 0.066 0.500
Ru 0.500 0.500 0.000
Ru 0.500 0.934 0.500
Pt 0.000 0.295 0.500
Pt 0.000 0.705 0.500
Pt 0.500 0.205 0.500
Pt 0.500 0.795 0.500

Entry 2:
Crystalline Hf2SeBr at its relaxed geometry. Source: the Alexandria database, functional PBE.

Its magnetization is 0.000 μB/atom. For the raw formation energy, the calculation gives -0.3733 eV/atom. Its uncorrected energy is -6.64 eV/atom. Its density is 11.29 Mg/m³.

Cell: 6.720 6.720 6.720 Å, 90.00 90.00 90.00°
Fractional positions:
Hf 0.250 0.250 0.250
Hf 0.250 0.250 0.750
Hf 0.250 0.750 0.250
Hf 0.250 0.750 0.750
Hf 0.750 0.250 0.250
Hf 0.750 0.250 0.750
Hf 0.750 0.750 0.250
Hf 0.750 0.750 0.750
Se 0.000 0.000 0.000
Se 0.000 0.500 0.500
Se 0.500 0.000 0.500
Se 0.500 0.500 0.000
Br 0.000 0.000 0.500
Br 0.000 0.500 0.000
Br 0.500 0.000 0.000
Br 0.500 0.500 0.500

Look up the magnetization of the second one. 0.000 μB/atom

Look up the uncorrected energy of the first one. -8.84 eV/atom

The highest uncorrected energy belongs to which entry? Hf2SeBr

uncorrected energy of number 1 (Mo2Ru3Pt2)? -8.84 eV/atom